Entry 1:
Crystalline GdZr2Cu at its relaxed geometry. Source: Alexandria via LeMat-Bulk, functional PBE.

Unit cell a=3.3046 b=3.3046 c=8.0421 alpha=90.00 beta=90.00 gamma=90.00
Space group P4/mmm (No. 123)
Inequivalent atoms, fractional coordinates:
Gd 0.0000 0.0000 0.0000 [1 per cell]
Zr 0.5000 0.5000 0.2957 [2 per cell]
Cu 0.0000 0.0000 0.5000 [1 per cell]

Computed properties:
V = 21.96 A^3/atom
Energy of formation = 29 meV/atom
VASP energy = -8.79 eV/atom

***

Entry 2:
Crystalline CoAuBr2 at its relaxed geometry. Source: Alexandria via LeMat-Bulk, functional PBE.

Unit cell a=3.1214 b=3.1214 c=10.1205 alpha=90.00 beta=90.00 gamma=90.00
Space group P4/mmm (No. 123)
Inequivalent atoms, fractional coordinates:
Co 0.0000 0.0000 0.0000 [1 per cell]
Au 0.0000 0.0000 0.5000 [1 per cell]
Br 0.5000 0.5000 0.1590 [2 per cell]

Computed properties:
ΔE_f (raw) = 0.45 eV per atom
V = 24.65 A^3/atom
VASP energy = -2.98 eV/atom

***

Entry 3:
Crystalline CaNi2Br at its relaxed geometry. Source: Alexandria via LeMat-Bulk, functional PBE.

Unit cell a=10.2190 b=3.6858 c=5.0210 alpha=90.00 beta=103.37 gamma=90.00
Space group C2/m (No. 12)
Inequivalent atoms, fractional coordinates:
Ca 0.0000 0.0000 0.0000 [2 per cell]
Ni 0.2076 0.5000 0.8776 [4 per cell]
Br 0.0000 0.5000 0.5000 [2 per cell]

Computed properties:
ΔE_f (raw) = -0.09 eV per atom
V = 23.00 A^3/atom
VASP energy = -3.90 eV/atom

***

Number 1: spin magnetization 7.00 μB per formula unit. Number 2: spin magnetization 2.91 μB per formula unit. Number 3: spin magnetization 0.96 μB per formula unit.